Entry 1:
The following is a DFT calculation (GGA-PBEsol) of NbInIr3 after structural relaxation.

Lattice parameters (Å, degrees): 4.6918 4.6918 4.6918 90.00 90.00 90.00
Last column: nearest neighbours and their distance in Å.
Fractional positions:
Nb1 0.0000 0.0000 0.0000  12 Ir 3.32
In1 0.5000 0.5000 0.5000  6 Ir 2.35
Ir1 0.0000 0.5000 0.5000  2 In 2.35
Ir2 0.5000 0.0000 0.5000  2 In 2.35
Ir3 0.5000 0.5000 0.0000  2 In 2.35

Values from the calculation:
- spin magnetization (μB/cell) = 1.087
- energy of formation (eV/atom) = 2.090
- ρ (Mg/m³) = 12.61
- space-group type = Pm-3m (221)

***

Entry 2:
The following is a DFT calculation (GGA-PBEsol) of NbIn3Ir after structural relaxation.

Lattice parameters (Å, degrees): 5.1647 5.1647 5.1647 90.00 90.00 90.00
Last column: nearest neighbours and their distance in Å.
Fractional positions:
Nb1 0.0000 0.0000 0.0000  6 In 2.58
In1 0.0000 0.0000 0.5000  2 Nb 2.58
In2 0.0000 0.5000 0.0000  2 Nb 2.58
In3 0.5000 0.0000 0.0000  2 Nb 2.58
Ir1 0.5000 0.5000 0.5000  12 In 3.65

Values from the calculation:
- spin magnetization (μB/cell) = 1.039
- energy of formation (eV/atom) = 1.646
- ρ (Mg/m³) = 7.59
- space-group type = Pm-3m (221)

***

Entry 3:
The following is a DFT calculation (GGA-PBEsol) of NdIn2Ir after structural relaxation.

Lattice parameters (Å, degrees): 4.3577 10.2672 7.8850 90.00 90.00 90.00
Last column: nearest neighbours and their distance in Å.
Fractional positions:
Nd1 0.0000 0.0703 0.2500  3 Ir 2.96-3.08, 4 In 3.31
Nd2 0.0000 0.9297 0.7500  3 Ir 2.96-3.08, 4 In 3.31
Nd3 0.5000 0.4297 0.7500  3 Ir 2.96-3.08, 4 In 3.31
Nd4 0.5000 0.5703 0.2500  3 Ir 2.96-3.08, 4 In 3.31
In1 0.0000 0.3560 0.0511  3 Ir 2.77-2.79, 1 In 3.07
In2 0.0000 0.3560 0.4489  3 Ir 2.77-2.79, 1 In 3.07
In3 0.0000 0.6440 0.5511  3 Ir 2.77-2.79, 1 In 3.07
In4 0.0000 0.6440 0.9489  3 Ir 2.77-2.79, 1 In 3.07
In5 0.5000 0.1440 0.5511  3 Ir 2.77-2.79, 1 In 3.07
In6 0.5000 0.1440 0.9489  3 Ir 2.77-2.79, 1 In 3.07
In7 0.5000 0.8560 0.0511  3 Ir 2.77-2.79, 1 In 3.07
In8 0.5000 0.8560 0.4489  3 Ir 2.77-2.79, 1 In 3.07
Ir1 0.0000 0.2178 0.7500  6 In 2.77-2.79, 3 Nd 2.96-3.08
Ir2 0.0000 0.7822 0.2500  6 In 2.77-2.79, 3 Nd 2.96-3.08
Ir3 0.5000 0.2822 0.2500  6 In 2.77-2.79, 3 Nd 2.96-3.08
Ir4 0.5000 0.7178 0.7500  6 In 2.77-2.79, 3 Nd 2.96-3.08

Values from the calculation:
- spin magnetization (μB/cell) = 0.000
- energy of formation (eV/atom) = -0.554
- ρ (Mg/m³) = 10.66
- space-group type = Cmcm (63)

***

Entry 4:
The following is a DFT calculation (GGA-PBEsol) of InNi6Ir after structural relaxation.

Lattice parameters (Å, degrees): 6.2682 6.2682 10.2420 90.00 90.00 109.63
Last column: nearest neighbours and their distance in Å.
Fractional positions:
In1 0.0000 0.0000 0.2489  12 Ni 2.55-2.61
In2 0.0000 0.0000 0.7511  12 Ni 2.55-2.61
In3 0.2459 0.7541 0.5000  12 Ni 2.52-2.64
In4 0.7541 0.2459 0.5000  12 Ni 2.52-2.64
Ni1 0.0000 0.0000 0.0000  2 Ir 2.50, 2 In 2.55, 8 Ni 2.58
Ni2 0.0000 0.0000 0.5000  4 In 2.52-2.57, 8 Ni 2.61
Ni3 0.1286 0.3827 0.1220  8 Ni 2.47-2.60, 3 Ir 2.53-2.54, 1 In 2.61
Ni4 0.1286 0.3827 0.8780  8 Ni 2.47-2.60, 3 Ir 2.53-2.54, 1 In 2.61
Ni5 0.1349 0.3807 0.3711  1 Ir 2.50, 8 Ni 2.52-2.65, 3 In 2.57-2.61
Ni6 0.1349 0.3807 0.6289  1 Ir 2.50, 8 Ni 2.52-2.65, 3 In 2.57-2.61
Ni7 0.2545 0.7455 0.2428  8 Ni 2.47-2.65, 2 Ir 2.49-2.52, 2 In 2.61-2.64
Ni8 0.2545 0.7455 0.7572  8 Ni 2.47-2.65, 2 Ir 2.49-2.52, 2 In 2.61-2.64
Ni9 0.3807 0.1349 0.3711  1 Ir 2.50, 8 Ni 2.52-2.65, 3 In 2.57-2.61
Ni10 0.3807 0.1349 0.6289  1 Ir 2.50, 8 Ni 2.52-2.65, 3 In 2.57-2.61
Ni11 0.3827 0.1286 0.1220  8 Ni 2.47-2.60, 3 Ir 2.53-2.54, 1 In 2.61
Ni12 0.3827 0.1286 0.8780  8 Ni 2.47-2.60, 3 Ir 2.53-2.54, 1 In 2.61
Ni13 0.5000 0.5000 0.0000  8 Ni 2.52, 4 Ir 2.53-2.62
Ni14 0.5000 0.5000 0.5000  8 Ni 2.53, 2 Ir 2.59, 2 In 2.60
Ni15 0.6173 0.8714 0.1220  8 Ni 2.47-2.60, 3 Ir 2.53-2.54, 1 In 2.61
Ni16 0.6173 0.8714 0.8780  8 Ni 2.47-2.60, 3 Ir 2.53-2.54, 1 In 2.61
Ni17 0.6193 0.8651 0.3711  1 Ir 2.50, 8 Ni 2.52-2.65, 3 In 2.57-2.61
Ni18 0.6193 0.8651 0.6289  1 Ir 2.50, 8 Ni 2.52-2.65, 3 In 2.57-2.61
Ni19 0.7455 0.2545 0.2428  8 Ni 2.47-2.65, 2 Ir 2.49-2.52, 2 In 2.61-2.64
Ni20 0.7455 0.2545 0.7572  8 Ni 2.47-2.65, 2 Ir 2.49-2.52, 2 In 2.61-2.64
Ni21 0.8651 0.6193 0.3711  1 Ir 2.50, 8 Ni 2.52-2.65, 3 In 2.57-2.61
Ni22 0.8651 0.6193 0.6289  1 Ir 2.50, 8 Ni 2.52-2.65, 3 In 2.57-2.61
Ni23 0.8714 0.6173 0.1220  8 Ni 2.47-2.60, 3 Ir 2.53-2.54, 1 In 2.61
Ni24 0.8714 0.6173 0.8780  8 Ni 2.47-2.60, 3 Ir 2.53-2.54, 1 In 2.61
Ir1 0.2438 0.7562 0.0000  12 Ni 2.49-2.62
Ir2 0.5000 0.5000 0.2470  12 Ni 2.50-2.59
Ir3 0.5000 0.5000 0.7530  12 Ni 2.50-2.59
Ir4 0.7562 0.2438 0.0000  12 Ni 2.49-2.62

Values from the calculation:
- spin magnetization (μB/cell) = 2.606
- energy of formation (eV/atom) = -0.021
- ρ (Mg/m³) = 11.55
- space-group type = Cmmm (65)

***

Entry 5:
The following is a DFT calculation (GGA-PBEsol) of InNiIr2 after structural relaxation.

Lattice parameters (Å, degrees): 6.1659 6.1659 6.1659 90.00 90.00 90.00
Last column: nearest neighbours and their distance in Å.
Fractional positions:
In1 0.0000 0.0000 0.0000  4 Ir 2.67, 4 Ni 2.67
In2 0.0000 0.5000 0.5000  4 Ni 2.67, 4 Ir 2.67
In3 0.5000 0.0000 0.5000  4 Ni 2.67, 4 Ir 2.67
In4 0.5000 0.5000 0.0000  4 Ni 2.67, 4 Ir 2.67
Ni1 0.2500 0.2500 0.7500  4 In 2.67, 4 Ir 2.67
Ni2 0.2500 0.7500 0.2500  4 In 2.67, 4 Ir 2.67
Ni3 0.7500 0.2500 0.2500  4 In 2.67, 4 Ir 2.67
Ni4 0.7500 0.7500 0.7500  4 In 2.67, 4 Ir 2.67
Ir1 0.0000 0.0000 0.5000  4 Ni 2.67, 4 Ir 2.67
Ir2 0.0000 0.5000 0.0000  4 Ni 2.67, 4 Ir 2.67
Ir3 0.2500 0.2500 0.2500  4 In 2.67, 4 Ir 2.67
Ir4 0.2500 0.7500 0.7500  4 In 2.67, 4 Ir 2.67
Ir5 0.5000 0.0000 0.0000  4 Ni 2.67, 4 Ir 2.67
Ir6 0.5000 0.5000 0.5000  4 Ni 2.67, 4 Ir 2.67
Ir7 0.7500 0.2500 0.7500  4 In 2.67, 4 Ir 2.67
Ir8 0.7500 0.7500 0.2500  4 In 2.67, 4 Ir 2.67

Values from the calculation:
- spin magnetization (μB/cell) = 0.007
- energy of formation (eV/atom) = 0.239
- ρ (Mg/m³) = 15.81
- space-group type = F-43m (216)

***

Entry 6:
The following is a DFT calculation (GGA-PBEsol) of InNiIr2 after structural relaxation.

Lattice parameters (Å, degrees): 2.8713 4.5023 8.9750 90.00 90.00 90.00
Last column: nearest neighbours and their distance in Å.
Fractional positions:
In1 0.0000 0.0000 0.0000  2 Ni 2.62, 6 Ir 2.68-2.81, 2 In 2.87
In2 0.5000 0.5000 0.5000  2 Ni 2.62, 6 Ir 2.68-2.81, 2 In 2.87
Ni1 0.0000 0.5000 0.2561  6 Ir 2.53-2.67, 2 In 2.62
Ni2 0.5000 0.0000 0.7561  6 Ir 2.53-2.67, 2 In 2.62
Ir1 0.0000 0.0000 0.5246  2 Ni 2.53, 4 In 2.68, 2 Ir 2.71
Ir2 0.0000 0.5000 0.7688  4 Ni 2.67, 4 Ir 2.71-2.87, 2 In 2.81
Ir3 0.5000 0.0000 0.2688  4 Ni 2.67, 4 Ir 2.71-2.87, 2 In 2.81
Ir4 0.5000 0.5000 0.0246  2 Ni 2.53, 4 In 2.68, 2 Ir 2.71

Values from the calculation:
- spin magnetization (μB/cell) = 0.005
- energy of formation (eV/atom) = 0.199
- ρ (Mg/m³) = 15.97
- space-group type = Imm2 (44)

***

Entry 7:
The following is a DFT calculation (GGA-PBEsol) of InNi2Ir after structural relaxation.

Lattice parameters (Å, degrees): 2.9978 4.3756 8.3962 90.00 90.00 90.00
Last column: nearest neighbours and their distance in Å.
Fractional positions:
In1 0.0000 0.0000 0.0000  4 Ni 2.61, 4 Ir 2.65
In2 0.5000 0.5000 0.5000  4 Ni 2.61, 4 Ir 2.65
Ni1 0.0000 0.5000 0.2456  2 Ir 2.55, 2 In 2.61, 4 Ni 2.65
Ni2 0.0000 0.5000 0.7544  2 Ir 2.55, 2 In 2.61, 4 Ni 2.65
Ni3 0.5000 0.0000 0.2544  2 Ir 2.55, 2 In 2.61, 4 Ni 2.65
Ni4 0.5000 0.0000 0.7456  2 Ir 2.55, 2 In 2.61, 4 Ni 2.65
Ir1 0.0000 0.0000 0.5000  4 Ni 2.55, 4 In 2.65
Ir2 0.5000 0.5000 0.0000  4 Ni 2.55, 4 In 2.65

Values from the calculation:
- spin magnetization (μB/cell) = 0.586
- energy of formation (eV/atom) = 0.157
- ρ (Mg/m³) = 12.80
- space-group type = Immm (71)

***

Entry 8:
The following is a DFT calculation (GGA-PBEsol) of In2NiIr after structural relaxation.

Lattice parameters (Å, degrees): 4.2197 4.2197 7.1443 90.00 90.00 90.00
Last column: nearest neighbours and their distance in Å.
Fractional positions:
In1 0.0000 0.5000 0.2500  4 Ni 2.76, 4 Ir 2.76, 4 In 2.98
In2 0.0000 0.5000 0.7500  4 Ni 2.76, 4 Ir 2.76, 4 In 2.98
In3 0.5000 0.0000 0.2500  4 Ni 2.76, 4 Ir 2.76, 4 In 2.98
In4 0.5000 0.0000 0.7500  4 Ni 2.76, 4 Ir 2.76, 4 In 2.98
Ni1 0.0000 0.0000 0.0000  8 In 2.76, 4 Ir 2.98
Ni2 0.5000 0.5000 0.5000  8 In 2.76, 4 Ir 2.98
Ir1 0.0000 0.0000 0.5000  8 In 2.76, 4 Ni 2.98
Ir2 0.5000 0.5000 0.0000  8 In 2.76, 4 Ni 2.98

Values from the calculation:
- spin magnetization (μB/cell) = 0.000
- energy of formation (eV/atom) = -0.084
- ρ (Mg/m³) = 12.55
- space-group type = I4/mmm (139)

***

Entry 9:
The following is a DFT calculation (GGA-PBEsol) of InNi2Ir after structural relaxation.

Lattice parameters (Å, degrees): 2.7960 2.7960 24.4643 90.00 90.00 120.00
Last column: nearest neighbours and their distance in Å.
Fractional positions:
In1 0.0000 0.0000 0.0000  3 Ni 2.63, 6 In 2.80, 3 Ir 2.82
In2 0.3333 0.6667 0.6667  3 Ni 2.63, 6 In 2.80, 3 Ir 2.82
In3 0.6667 0.3333 0.3333  3 Ni 2.63, 6 In 2.80, 3 Ir 2.82
Ni1 0.0000 0.0000 0.2483  3 Ni 2.43, 3 In 2.63
Ni2 0.0000 0.0000 0.5074  3 Ni 2.43, 3 Ir 2.52
Ni3 0.3333 0.6667 0.1740  3 Ni 2.43, 3 Ir 2.52
Ni4 0.3333 0.6667 0.9150  3 Ni 2.43, 3 In 2.63
Ni5 0.6667 0.3333 0.5816  3 Ni 2.43, 3 In 2.63
Ni6 0.6667 0.3333 0.8407  3 Ni 2.43, 3 Ir 2.52
Ir1 0.0000 0.0000 0.7614  3 Ni 2.52, 6 Ir 2.80, 3 In 2.82
Ir2 0.3333 0.6667 0.4280  3 Ni 2.52, 6 Ir 2.80, 3 In 2.82
Ir3 0.6667 0.3333 0.0947  3 Ni 2.52, 6 Ir 2.80, 3 In 2.82

Values from the calculation:
- spin magnetization (μB/cell) = 0.131
- energy of formation (eV/atom) = 0.262
- ρ (Mg/m³) = 12.76
- space-group type = R3m (160)

***

Entry 10:
The following is a DFT calculation (GGA-PBEsol) of InNiIr3 after structural relaxation.

Lattice parameters (Å, degrees): 4.4400 4.4400 4.4400 90.00 90.00 90.00
Last column: nearest neighbours and their distance in Å.
Fractional positions:
In1 0.0000 0.0000 0.0000  12 Ir 3.14
Ni1 0.5000 0.5000 0.5000  6 Ir 2.22
Ir1 0.0000 0.5000 0.5000  2 Ni 2.22
Ir2 0.5000 0.0000 0.5000  2 Ni 2.22
Ir3 0.5000 0.5000 0.0000  2 Ni 2.22

Values from the calculation:
- spin magnetization (μB/cell) = 2.447
- energy of formation (eV/atom) = 1.314
- ρ (Mg/m³) = 14.23
- space-group type = Pm-3m (221)

***

Entry 11:
The following is a DFT calculation (GGA-PBEsol) of InIrRhO2 after structural relaxation.

Lattice parameters (Å, degrees): 3.8742 3.8742 5.3608 90.00 90.00 90.00
Last column: nearest neighbours and their distance in Å.
Fractional positions:
In1 0.0000 0.0000 0.0000  4 O 1.94
Ir1 0.5000 0.5000 0.5000  4 Rh 2.74
Rh1 0.0000 0.0000 0.5000  2 In 2.68, 4 Ir 2.74
O1 0.0000 0.5000 0.0000  2 In 1.94
O2 0.5000 0.0000 0.0000  2 In 1.94

Values from the calculation:
- spin magnetization (μB/cell) = 2.803
- calculated total energy (Ry per atom) = -0.3922
- ρ (Mg/m³) = 9.12
- space-group type = P4/mmm (123)

***

Entry 12:
The following is a DFT calculation (GGA-PBEsol) of YInIr2O after structural relaxation.

Lattice parameters (Å, degrees): 4.7451 4.7451 5.6666 90.00 90.00 90.00
Last column: nearest neighbours and their distance in Å.
Fractional positions:
Y1 0.0000 0.0000 0.0000  2 In 2.83
In1 0.0000 0.0000 0.5000  4 Ir 2.37
Ir1 0.0000 0.5000 0.5000  2 In 2.37
Ir2 0.5000 0.0000 0.5000  2 In 2.37
O1 0.5000 0.5000 0.0000  4 Y 3.36, 8 Ir 3.70

Values from the calculation:
- spin magnetization (μB/cell) = 1.869
- calculated total energy (Ry per atom) = -0.3863
- ρ (Mg/m³) = 7.86
- space-group type = P4/mmm (123)

***

Entry 13:
The following is a DFT calculation (GGA-PBEsol) of InIrOs2 after structural relaxation.

Lattice parameters (Å, degrees): 2.8012 3.8022 5.7587 90.00 90.00 90.00
Last column: nearest neighbours and their distance in Å.
Fractional positions:
In1 0.0000 0.0000 0.0000  4 Ir 2.78, 2 In 2.80, 6 Os 2.84-2.92
Ir1 0.5000 0.5000 0.2552  5 Os 2.65-2.77, 4 In 2.78, 2 Ir 2.80
Os1 0.0000 0.0000 0.5075  6 Os 2.65-2.80, 4 Ir 2.77, 2 In 2.84-2.92
Os2 0.5000 0.5000 0.7149  6 Os 2.65-2.80, 1 Ir 2.65, 4 In 2.88

Values from the calculation:
- spin magnetization (μB/cell) = 0.000
- energy of formation (eV/atom) = 0.293
- ρ (Mg/m³) = 18.61
- space-group type = Pmm2 (25)

***

Entry 14:
The following is a DFT calculation (GGA-PBEsol) of InIrOs2 after structural relaxation.

Lattice parameters (Å, degrees): 6.2748 6.2748 6.2748 90.00 90.00 90.00
Last column: nearest neighbours and their distance in Å.
Fractional positions:
In1 0.0000 0.0000 0.0000  4 Ir 2.72, 4 Os 2.72
In2 0.0000 0.5000 0.5000  4 Ir 2.72, 4 Os 2.72
In3 0.5000 0.0000 0.5000  4 Ir 2.72, 4 Os 2.72
In4 0.5000 0.5000 0.0000  4 Ir 2.72, 4 Os 2.72
Ir1 0.2500 0.2500 0.2500  4 In 2.72, 4 Os 2.72
Ir2 0.2500 0.7500 0.7500  4 In 2.72, 4 Os 2.72
Ir3 0.7500 0.2500 0.7500  4 In 2.72, 4 Os 2.72
Ir4 0.7500 0.7500 0.2500  4 In 2.72, 4 Os 2.72
Os1 0.0000 0.0000 0.5000  4 Os 2.72, 4 Ir 2.72
Os2 0.0000 0.5000 0.0000  4 Os 2.72, 4 Ir 2.72
Os3 0.2500 0.2500 0.7500  4 In 2.72, 4 Os 2.72
Os4 0.2500 0.7500 0.2500  4 In 2.72, 4 Os 2.72
Os5 0.5000 0.0000 0.0000  4 Os 2.72, 4 Ir 2.72
Os6 0.5000 0.5000 0.5000  4 Os 2.72, 4 Ir 2.72
Os7 0.7500 0.2500 0.2500  4 In 2.72, 4 Os 2.72
Os8 0.7500 0.7500 0.7500  4 In 2.72, 4 Os 2.72

Values from the calculation:
- spin magnetization (μB/cell) = 5.936
- energy of formation (eV/atom) = 0.696
- ρ (Mg/m³) = 18.48
- space-group type = F-43m (216)